# 1
Sr3SnI PBE optimized geometry; energy relative to the elements, uncorrected = -649.2 meV/atom; uncorrected energy = -27.69 eV for the cell shown; excess energy over the best structure of this formula in the dataset = 0 kJ/mol of formula units; spin magnetization = 0.0 Bohr magnetons per cell
1.0
7.914 -4.324 0.000
7.914 4.324 0.000
-2.367 0.000 8.166
Sr Sn I
6 2 2
direct
0.031 0.031 0.249
0.033 0.546 0.249
0.454 0.967 0.751
0.546 0.033 0.249
0.967 0.454 0.751
0.969 0.969 0.751
0.165 0.165 0.013
0.835 0.835 0.987
0.338 0.338 0.583
0.662 0.662 0.417

=====

# 2
CsNaPmF5 PBE optimized geometry; energy relative to the elements, uncorrected = -3408.8 meV/atom; uncorrected energy = -87.10 eV for the cell shown; spin magnetization = 0.5 Bohr magnetons per cell
1.0
3.936 -5.574 0.000
3.936 5.574 0.000
-3.155 0.000 8.174
Cs Na Pm F
2 2 2 10
direct
0.165 0.835 0.750
0.835 0.165 0.250
0.185 0.815 0.250
0.815 0.185 0.750
0.500 0.500 0.000
0.500 0.500 0.500
0.147 0.263 0.915
0.224 0.601 0.406
0.263 0.147 0.415
0.399 0.776 0.094
0.439 0.561 0.750
0.561 0.439 0.250
0.601 0.224 0.906
0.737 0.853 0.585
0.776 0.399 0.594
0.853 0.737 0.085

=====

# 3
Tb2Mg2Pb3 PBE optimized geometry; formation enthalpy at 0 K = -0.212 eV/atom; uncorrected energy = -25.06 eV for the cell shown; spin magnetization = 0.0 Bohr magnetons per cell
1.0
5.543 -2.347 0.000
5.543 2.347 0.000
-4.863 0.000 7.910
Tb Mg Pb
2 2 3
direct
0.088 0.088 0.275
0.912 0.912 0.725
0.299 0.299 0.126
0.701 0.701 0.874
0.171 0.171 0.660
0.500 0.500 0.000
0.829 0.829 0.340